Mn2SnTe | PBE | optimized geometry

Results
Distance to the lowest polymorph of the same formula = 74 kJ/mol of formula units
Size of the total moment = 0.00 μB per cell
Formation energy without anion corrections = 514.0 meV/atom
DFT total energy = -5.857 eV/atom
SG = No. 225

abc: 4.4828 4.4828 4.4828
angles: 60.00 60.00 60.00
With the nearest neighbours (Å) after each atom.
Sites, in units of the cell vectors:
1 Mn 0.2500 0.2500 0.2500  4 Sn 2.75, 4 Te 2.75
2 Mn 0.7500 0.7500 0.7500  4 Sn 2.75, 4 Te 2.75
3 Sn 0.0000 0.0000 0.0000  8 Mn 2.75
4 Te 0.5000 0.5000 0.5000  8 Mn 2.75


DyEr4Tm3S8 | PBE | optimized geometry

Results
Size of the total moment = 0.00 μB per cell
Formation energy without anion corrections = -1944.8 meV/atom
DFT total energy = -6.275 eV/atom
SG = No. 166

abc: 7.7230 7.7230 7.7230
angles: 59.99 59.99 59.99
With the nearest neighbours (Å) after each atom.
Sites, in units of the cell vectors:
1 Dy 0.0000 0.0000 0.0000  6 S 2.75
2 Er 0.0000 0.0000 0.5000  6 S 2.74
3 Er 0.0000 0.5000 0.0000  6 S 2.74
4 Er 0.5000 0.0000 0.0000  6 S 2.74
5 Er 0.5000 0.5000 0.5000  6 S 2.71
6 Tm 0.0000 0.5000 0.5000  6 S 2.72
7 Tm 0.5000 0.0000 0.5000  6 S 2.72
8 Tm 0.5000 0.5000 0.0000  6 S 2.72
9 S 0.2508 0.2508 0.2508  3 Tm 2.72, 3 Er 2.74
10 S 0.2514 0.2514 0.7470  3 Er 2.71-2.74, 2 Tm 2.72, 1 Dy 2.75
11 S 0.2514 0.7470 0.2514  3 Er 2.71-2.74, 2 Tm 2.72, 1 Dy 2.75
12 S 0.2530 0.7486 0.7486  3 Er 2.71-2.74, 2 Tm 2.72, 1 Dy 2.75
13 S 0.7470 0.2514 0.2514  3 Er 2.71-2.74, 2 Tm 2.72, 1 Dy 2.75
14 S 0.7486 0.2530 0.7486  3 Er 2.71-2.74, 2 Tm 2.72, 1 Dy 2.75
15 S 0.7486 0.7486 0.2530  3 Er 2.71-2.74, 2 Tm 2.72, 1 Dy 2.75
16 S 0.7492 0.7492 0.7492  3 Tm 2.72, 3 Er 2.74


NaNiSn2Hg | PBE | optimized geometry

Results
Formation enthalpy at 0 K = -0.039 eV per atom
Size of the total moment = 0.00 μB per cell
DFT total energy = -3.120 eV/atom
SG = No. 123

abc: 4.9813 4.9813 5.1518
angles: 90.00 90.00 90.00
With the nearest neighbours (Å) after each atom.
Sites, in units of the cell vectors:
1 Na 0.0000 0.0000 0.0000  4 Hg 3.52, 8 Sn 3.58
2 Ni 0.5000 0.5000 0.5000  4 Sn 2.49, 2 Hg 2.58
3 Sn 0.0000 0.5000 0.5000  2 Ni 2.49
4 Sn 0.5000 0.0000 0.5000  2 Ni 2.49
5 Hg 0.5000 0.5000 0.0000  2 Ni 2.58


Ce3AsP2Rh9 | PBE | optimized geometry

Results
Formation enthalpy at 0 K = -0.693 eV per atom
Size of the total moment = 0.80 μB per cell
DFT total energy = -7.322 eV/atom
SG = No. 164

abc: 5.7092 5.7092 9.8416
angles: 90.00 90.00 120.00
With the nearest neighbours (Å) after each atom.
Sites, in units of the cell vectors:
1 Ce 0.0000 0.0000 0.0000  6 Rh 2.85
2 Ce 0.3333 0.6667 0.6195  6 Rh 2.94
3 Ce 0.6667 0.3333 0.3805  6 Rh 2.94
4 As 0.0000 0.0000 0.5000  6 Rh 2.47
5 P 0.3333 0.6667 0.1595  6 Rh 2.24-2.28
6 P 0.6667 0.3333 0.8405  6 Rh 2.24-2.28
7 Rh 0.0000 0.5000 0.0000  2 P 2.28
8 Rh 0.1627 0.3254 0.3092  1 P 2.24, 1 As 2.47
9 Rh 0.1627 0.8373 0.3092  1 P 2.24, 1 As 2.47
10 Rh 0.3254 0.1627 0.6908  1 P 2.24, 1 As 2.47
11 Rh 0.5000 0.0000 0.0000  2 P 2.28
12 Rh 0.5000 0.5000 0.0000  2 P 2.28
13 Rh 0.6746 0.8373 0.3092  1 P 2.24, 1 As 2.47
14 Rh 0.8373 0.1627 0.6908  1 P 2.24, 1 As 2.47
15 Rh 0.8373 0.6746 0.6908  1 P 2.24, 1 As 2.47


Mg2SbPd8 | PBE | optimized geometry

Results
Distance to the lowest polymorph of the same formula = 0 kJ/mol of formula units
Size of the total moment = 0.00 μB per cell
Formation energy without anion corrections = -475.4 meV/atom
DFT total energy = -4.917 eV/atom
SG = No. 12

abc: 7.4399 7.4399 6.1283
angles: 103.37 103.37 32.50
With the nearest neighbours (Å) after each atom.
Sites, in units of the cell vectors:
1 Mg 0.2191 0.2191 0.1545  10 Pd 2.69-2.91
2 Mg 0.7809 0.7809 0.8455  10 Pd 2.69-2.91
3 Sb 0.5000 0.5000 0.5000  8 Pd 2.69-2.79
4 Pd 0.0398 0.0398 0.2345  1 Mg 2.72, 2 Sb 2.78, 9 Pd 2.82-2.93
5 Pd 0.1505 0.1505 0.7036  3 Mg 2.70-2.79, 7 Pd 2.74-2.93
6 Pd 0.3233 0.3233 0.5840  3 Mg 2.69-2.78, 1 Sb 2.69, 8 Pd 2.74-2.96
7 Pd 0.4059 0.4059 0.0443  8 Pd 2.78-2.91, 1 Sb 2.79, 3 Mg 2.82-2.91
8 Pd 0.5941 0.5941 0.9557  8 Pd 2.78-2.91, 1 Sb 2.79, 3 Mg 2.82-2.91
9 Pd 0.6767 0.6767 0.4160  3 Mg 2.69-2.78, 1 Sb 2.69, 8 Pd 2.74-2.96
10 Pd 0.8495 0.8495 0.2964  3 Mg 2.70-2.79, 7 Pd 2.74-2.93
11 Pd 0.9602 0.9602 0.7655  1 Mg 2.72, 2 Sb 2.78, 9 Pd 2.82-2.93


ZnSeO3 | PBE | optimized geometry

Results
Size of the total moment = 0.00 μB per cell
Formation energy without anion corrections = -1078.3 meV/atom
DFT total energy = -5.005 eV/atom
SG = No. 61

abc: 6.3494 12.0746 7.5231
angles: 90.00 90.00 90.00
With the nearest neighbours (Å) after each atom.
Sites, in units of the cell vectors:
1 Zn 0.1335 0.0950 0.1089  4 O 2.00-2.15
2 Zn 0.1335 0.4050 0.6089  4 O 2.00-2.15
3 Zn 0.3665 0.5950 0.1089  4 O 2.00-2.15
4 Zn 0.3665 0.9050 0.6089  4 O 2.00-2.15
5 Zn 0.6335 0.0950 0.3911  4 O 2.00-2.15
6 Zn 0.6335 0.4050 0.8911  4 O 2.00-2.15
7 Zn 0.8665 0.5950 0.3911  4 O 2.00-2.15
8 Zn 0.8665 0.9050 0.8911  4 O 2.00-2.15
9 Se 0.1104 0.1430 0.5370  3 O 1.72-1.76
10 Se 0.1104 0.3570 0.0370  3 O 1.72-1.76
11 Se 0.3896 0.6430 0.5370  3 O 1.72-1.76
12 Se 0.3896 0.8570 0.0370  3 O 1.72-1.76
13 Se 0.6104 0.1430 0.9630  3 O 1.72-1.76
14 Se 0.6104 0.3570 0.4630  3 O 1.72-1.76
15 Se 0.8896 0.6430 0.9630  3 O 1.72-1.76
16 Se 0.8896 0.8570 0.4630  3 O 1.72-1.76
17 O 0.0151 0.5937 0.1567  1 Se 1.76
18 O 0.0151 0.9063 0.6567  1 Se 1.76
19 O 0.1581 0.5654 0.5275  1 Se 1.74
20 O 0.1581 0.9346 0.0275  1 Se 1.74
21 O 0.2036 0.2309 0.9660  1 Se 1.72
22 O 0.2036 0.2691 0.4660  1 Se 1.72
23 O 0.2964 0.7309 0.9660  1 Se 1.72
24 O 0.2964 0.7691 0.4660  1 Se 1.72
25 O 0.3419 0.0654 0.5275  1 Se 1.74
26 O 0.3419 0.4346 0.0275  1 Se 1.74
27 O 0.4849 0.0937 0.1567  1 Se 1.76
28 O 0.4849 0.4063 0.6567  1 Se 1.76
29 O 0.5151 0.5937 0.3433  1 Se 1.76
30 O 0.5151 0.9063 0.8433  1 Se 1.76
31 O 0.6581 0.5654 0.9725  1 Se 1.74
32 O 0.6581 0.9346 0.4725  1 Se 1.74
33 O 0.7036 0.2309 0.5340  1 Se 1.72
34 O 0.7036 0.2691 0.0340  1 Se 1.72
35 O 0.7964 0.7309 0.5340  1 Se 1.72
36 O 0.7964 0.7691 0.0340  1 Se 1.72
37 O 0.8419 0.0654 0.9725  1 Se 1.74
38 O 0.8419 0.4346 0.4725  1 Se 1.74
39 O 0.9849 0.0937 0.3433  1 Se 1.76
40 O 0.9849 0.4063 0.8433  1 Se 1.76


BaTaBi2 | PBE | optimized geometry

Results
Formation enthalpy at 0 K = 0.176 eV per atom
Distance to the lowest polymorph of the same formula = 0 kJ/mol of formula units
Size of the total moment = 2.03 μB per cell
DFT total energy = -5.208 eV/atom
SG = No. 122

abc: 7.2435 7.2435 7.2435
angles: 108.25 108.25 111.95
With the nearest neighbours (Å) after each atom.
Sites, in units of the cell vectors:
1 Ba 0.0000 0.0000 0.0000  4 Bi 3.58
2 Ba 0.7500 0.2500 0.5000  4 Bi 3.58
3 Ta 0.2500 0.7500 0.5000  4 Bi 2.81
4 Ta 0.5000 0.5000 0.0000  4 Bi 2.81
5 Bi 0.1930 0.6250 0.0680  2 Ta 2.81
6 Bi 0.3750 0.4430 0.5680  2 Ta 2.81
7 Bi 0.5570 0.1250 0.9320  2 Ta 2.81
8 Bi 0.8750 0.8070 0.4320  2 Ta 2.81


CaTiCd2C | PBE | optimized geometry

Results
Formation enthalpy at 0 K = 2.403 eV per atom
Size of the total moment = 5.80 μB per cell
DFT total energy = -1.787 eV/atom
SG = No. 123

abc: 6.0266 6.0266 5.9184
angles: 90.00 90.00 90.00
With the nearest neighbours (Å) after each atom.
Sites, in units of the cell vectors:
1 Ca 0.0000 0.0000 0.0000  2 Ti 2.96, 4 Cd 3.01
2 Ti 0.0000 0.0000 0.5000  2 Ca 2.96
3 Cd 0.0000 0.5000 0.0000  2 Ca 3.01
4 Cd 0.5000 0.0000 0.0000  2 Ca 3.01
5 C 0.5000 0.5000 0.5000  8 Cd 4.22, 4 Ti 4.26


PrNdHgIr | PBE | optimized geometry

Results
Formation enthalpy at 0 K = -0.449 eV per atom
Distance to the lowest polymorph of the same formula = 12 kJ/mol of formula units
Size of the total moment = 0.00 μB per cell
DFT total energy = -5.127 eV/atom
SG = No. 25

abc: 3.7333 5.1369 5.2882
angles: 90.00 90.00 90.00
With the nearest neighbours (Å) after each atom.
Sites, in units of the cell vectors:
1 Pr 0.0000 0.0000 0.0000  2 Ir 3.01, 4 Hg 3.18
2 Nd 0.0000 0.5000 0.5143  4 Hg 3.17-3.30, 4 Ir 3.20
3 Hg 0.5000 0.5000 0.0288  4 Nd 3.17-3.30, 4 Pr 3.18, 2 Ir 3.38
4 Ir 0.5000 0.0000 0.4456  2 Pr 3.01, 4 Nd 3.20


AsBr2ClF | PBE | optimized geometry

Results
Distance to the lowest polymorph of the same formula = 206 kJ/mol of formula units
Size of the total moment = 1.01 μB per cell
Formation energy without anion corrections = 603.0 meV/atom
DFT total energy = -1.740 eV/atom
SG = No. 123

abc: 5.2817 5.2817 5.0872
angles: 90.00 90.00 90.00
With the nearest neighbours (Å) after each atom.
Sites, in units of the cell vectors:
1 As 0.0000 0.0000 0.0000  2 Cl 2.54
2 Br 0.0000 0.5000 0.5000  2 Cl 2.64
3 Br 0.5000 0.0000 0.5000  2 Cl 2.64
4 Cl 0.0000 0.0000 0.5000  2 As 2.54, 4 Br 2.64
5 F 0.5000 0.5000 0.0000  8 Br 3.67, 4 As 3.73


KMg7 | PBE | optimized geometry

Results
Formation enthalpy at 0 K = 0.159 eV per atom
Distance to the lowest polymorph of the same formula = 0 kJ/mol of formula units
Size of the total moment = 0.00 μB per cell
DFT total energy = -1.374 eV/atom
SG = No. 187

abc: 6.7325 6.7325 5.4295
angles: 90.00 90.00 120.00
With the nearest neighbours (Å) after each atom.
Sites, in units of the cell vectors:
1 K 0.0000 0.0000 0.0000  12 Mg 3.37-3.41
2 Mg 0.0053 0.5026 0.0000  10 Mg 3.29-3.42, 2 K 3.37
3 Mg 0.1774 0.3548 0.5000  8 Mg 3.15-3.37, 2 K 3.41
4 Mg 0.1774 0.8226 0.5000  8 Mg 3.15-3.37, 2 K 3.41
5 Mg 0.4974 0.5026 0.0000  10 Mg 3.29-3.42, 2 K 3.37
6 Mg 0.4974 0.9947 0.0000  10 Mg 3.29-3.42, 2 K 3.37
7 Mg 0.6452 0.8226 0.5000  8 Mg 3.15-3.37, 2 K 3.41
8 Mg 0.6667 0.3333 0.5000  12 Mg 3.36-3.37


Na3F | PBE | optimized geometry

Results
Distance to the lowest polymorph of the same formula = 0 kJ/mol of formula units
Size of the total moment = 0.00 μB per cell
Formation energy without anion corrections = -1225.7 meV/atom
DFT total energy = -2.683 eV/atom
SG = No. 44

abc: 6.2063 6.2063 6.2063
angles: 150.47 67.18 121.18
With the nearest neighbours (Å) after each atom.
Sites, in units of the cell vectors:
1 Na 0.0000 0.0000 0.0000  2 F 2.40
2 Na 0.2910 0.4437 0.8473  2 F 2.41
3 Na 0.5964 0.4437 0.1527  2 F 2.41
4 F 0.2964 0.7964 0.5000  6 Na 2.40-2.41


LaPuSc2 | PBE | optimized geometry

Results
Formation enthalpy at 0 K = 0.126 eV per atom
Distance to the lowest polymorph of the same formula = 0 kJ/mol of formula units
Size of the total moment = 5.97 μB per cell
DFT total energy = -7.854 eV/atom
SG = No. 123

abc: 3.3761 3.3761 9.6533
angles: 90.00 90.00 90.00
With the nearest neighbours (Å) after each atom.
Sites, in units of the cell vectors:
1 La 0.0000 0.0000 0.0000  4 La 3.38, 8 Sc 3.53
2 Pu 0.0000 0.0000 0.5000  8 Sc 3.27, 4 Pu 3.38
3 Sc 0.5000 0.5000 0.2691  4 Pu 3.27, 4 Sc 3.38, 4 La 3.53
4 Sc 0.5000 0.5000 0.7309  4 Pu 3.27, 4 Sc 3.38, 4 La 3.53